{
  "formula": "Rb2VPF6",
  "functional": "GGA+U",
  "state": "relaxed",
  "sg": "I4/mmm, No. 139",
  "e_tot_ev_per_cell": -48.29,
  "lattice_angstrom": [[-2.867, 2.867, 5.440], [2.867, -2.867, 5.440], [2.867, 2.867, -5.440]],
  "species": ["Rb", "Rb", "V", "P", "F", "F", "F", "F", "F", "F"],
  "fractional_positions": [[0.250, 0.750, 0.500], [0.750, 0.250, 0.500], [0.000, 0.000, 0.000], [0.500, 0.500, 0.000], [0.187, 0.187, 0.000], [0.258, 0.258, 0.515], [0.258, 0.742, 0.000], [0.742, 0.258, 0.000], [0.742, 0.742, 0.485], [0.813, 0.813, 0.000]]
}